Version a
Entry from Alexandria: a geometry-optimized ZrMoRh2 structure (PBE).

Structure (POSCAR):
```
ZrMoRh2
1.0
2.908 0.000 0.000
0.000 3.862 0.000
0.000 0.000 5.786
Zr Mo Rh
1 1 2
Direct
0.000 0.000 0.000 Zr
0.000 0.000 0.500 Mo
0.500 0.500 0.265 Rh
0.500 0.500 0.735 Rh
```

V	16.24	Å³/atom
total magnetic moment	0.00	μB/f.u.
space group	Pmmm



Version b
Entry from Alexandria: a geometry-optimized ZrMoRh2 structure (PBE).

Structure (POSCAR):
```
ZrMoRh2
1.0
-2.044 2.044 3.885
2.044 -2.044 3.885
2.044 2.044 -3.885
Zr Mo Rh
1 1 2
Direct
0.000 0.000 0.000 Zr
0.500 0.500 0.000 Mo
0.250 0.750 0.500 Rh
0.750 0.250 0.500 Rh
```

V	16.23	Å³/atom
total magnetic moment	0.00	μB/f.u.
space group	I4/mmm



Version c
Entry from Alexandria: a geometry-optimized ZrMoRh2 structure (PBE).

Structure (POSCAR):
```
ZrMoRh2
1.0
0.000 3.216 3.216
3.216 0.000 3.216
3.216 3.216 0.000
Zr Mo Rh
1 1 2
Direct
0.000 0.000 0.000 Zr
0.500 0.500 0.500 Mo
0.250 0.250 0.250 Rh
0.750 0.750 0.750 Rh
```

V	16.64	Å³/atom
total magnetic moment	1.08	μB/f.u.
space group	Fm-3m



Version d
Entry from Alexandria: a geometry-optimized ZrMoRh2 structure (PBE).

Structure (POSCAR):
```
ZrMoRh2
1.0
1.439 0.831 9.266
-1.439 0.831 9.266
0.000 -1.662 9.266
Zr Mo Rh
1 1 2
Direct
0.000 0.000 0.000 Zr
0.761 0.761 0.761 Mo
0.251 0.251 0.251 Rh
0.501 0.501 0.501 Rh
```

V	16.63	Å³/atom
total magnetic moment	0.26	μB/f.u.
space group	R3m



Least stable of them? version d.



Version a
Entry from Alexandria: a geometry-optimized ZrMoRh2 structure (PBE).

Structure (POSCAR):
```
ZrMoRh2
1.0
4.088 0.000 0.000
0.000 4.088 0.000
0.000 0.000 3.884
Zr Mo Rh
1 1 2
Direct
0.000 0.000 0.000 Zr
0.500 0.500 0.000 Mo
0.000 0.500 0.500 Rh
0.500 0.000 0.500 Rh
```

V	16.22	Å³/atom
total magnetic moment	0.00	μB/f.u.
space group	P4/mmm



Version b
Entry from Alexandria: a geometry-optimized ZrMoRh2 structure (PBE).

Structure (POSCAR):
```
ZrMoRh2
1.0
4.659 -1.455 0.000
4.659 1.455 0.000
-0.943 0.000 4.828
Zr Mo Rh
1 1 2
Direct
0.000 0.000 0.000 Zr
0.500 0.500 0.500 Mo
0.247 0.247 0.734 Rh
0.753 0.753 0.266 Rh
```

V	16.37	Å³/atom
total magnetic moment	0.00	μB/f.u.
space group	C2/m



Least stable of them? version b.



Version a
Entry from Alexandria: a geometry-optimized ZrMoRh2 structure (PBE).

Structure (POSCAR):
```
ZrMoRh2
1.0
2.895 0.000 0.000
0.000 4.577 0.000
-0.439 0.000 4.938
Zr Mo Rh
1 1 2
Direct
0.000 0.000 0.000 Zr
0.838 0.500 0.380 Mo
0.440 0.000 0.504 Rh
0.452 0.500 0.862 Rh
```

V	16.35	Å³/atom
total magnetic moment	0.00	μB/f.u.
space group	Pm



Version b
Entry from Alexandria: a geometry-optimized ZrMoRh2 structure (PBE).

Structure (POSCAR):
```
ZrMoRh2
1.0
0.000 3.191 3.191
3.191 0.000 3.191
3.191 3.191 0.000
Zr Mo Rh
1 1 2
Direct
0.000 0.000 0.000 Zr
0.750 0.750 0.750 Mo
0.250 0.250 0.250 Rh
0.500 0.500 0.500 Rh
```

V	16.24	Å³/atom
total magnetic moment	0.00	μB/f.u.
space group	F-43m



Least stable of them? version b.